# 1
A relaxed NdSm14Tl crystal, computed with PBE.

a = 7.1881 Å, b = 7.1881 Å, c = 10.2128 Å
α = 90.00°, β = 90.00°, γ = 90.00°
Atoms (fractional coordinates):
1 Nd 0.0000 0.0000 0.0000
2 Sm 0.0000 0.0000 0.5000
3 Sm 0.0000 0.5000 0.0000
4 Sm 0.0000 0.5000 0.5000
5 Sm 0.2511 0.2511 0.2473
6 Sm 0.2511 0.2511 0.7527
7 Sm 0.2511 0.7489 0.2473
8 Sm 0.2511 0.7489 0.7527
9 Sm 0.5000 0.0000 0.0000
10 Sm 0.5000 0.0000 0.5000
11 Sm 0.5000 0.5000 0.5000
12 Sm 0.7489 0.2511 0.2473
13 Sm 0.7489 0.2511 0.7527
14 Sm 0.7489 0.7489 0.2473
15 Sm 0.7489 0.7489 0.7527
16 Tl 0.5000 0.5000 0.0000

Summary:
Its energy of formation is -0.01 eV/atom.

=====

# 2
A relaxed Y2Al4Ag3Au crystal, computed with PBE.

a = 4.3179 Å, b = 4.3179 Å, c = 10.7765 Å
α = 90.00°, β = 90.00°, γ = 90.00°
Atoms (fractional coordinates):
1 Y 0.0000 0.5000 0.2479
2 Y 0.5000 0.0000 0.7521
3 Al 0.0000 0.0000 0.5000
4 Al 0.0000 0.5000 0.8671
5 Al 0.5000 0.0000 0.1329
6 Al 0.5000 0.5000 0.5000
7 Ag 0.0000 0.0000 0.0000
8 Ag 0.0000 0.5000 0.6361
9 Ag 0.5000 0.0000 0.3639
10 Au 0.5000 0.5000 0.0000

Summary:
Its energy of formation is -0.41 eV/atom.

=====

# 3
A relaxed MgZrI2O crystal, computed with PBE.

a = 5.9452 Å, b = 5.9452 Å, c = 4.0361 Å
α = 90.00°, β = 90.00°, γ = 90.00°
Atoms (fractional coordinates):
1 Mg 0.0000 0.0000 0.0000
2 Zr 0.5000 0.5000 0.5000
3 I 0.0000 0.5000 0.5000
4 I 0.5000 0.0000 0.5000
5 O 0.5000 0.5000 0.0000

Summary:
As for the energy relative to the lowest polymorph listed for this composition: 0.000 eV per atom. Its formation energy without anion corrections is -1.05 eV/atom.

=====

# 4
A relaxed AcNdSbSe crystal, computed with PBE.

a = 12.1783 Å, b = 12.1783 Å, c = 12.1783 Å
α = 24.86°, β = 24.86°, γ = 24.86°
Atoms (fractional coordinates):
1 Ac 0.2043 0.2043 0.2043
2 Ac 0.7957 0.7957 0.7957
3 Nd 0.3782 0.3782 0.3782
4 Nd 0.6218 0.6218 0.6218
5 Sb 0.0988 0.0988 0.0988
6 Sb 0.9012 0.9012 0.9012
7 Se 0.2965 0.2965 0.2965
8 Se 0.7035 0.7035 0.7035

Summary:
Its formation energy without anion corrections is -1.21 eV/atom.

=====

Energy list, top to bottom, in Ry/atom: -0.3373; -0.3222; -0.3447; -0.3915
V list, top to bottom, in Å³/cell: 527.7; 200.9; 142.7; 280.9